# 1
# LiRhCl PBE relaxed
# crystal system = orthorhombic
# polymorph energy (0 for the lowest one) = 9.5 kJ per mole of atoms
# D(E_F) = 10.9 states/eV per cell
# E = -11.36 eV per formula unit
data_LiRhCl
_chemical_formula_sum 'Li4 Rh4 Cl4'
_symmetry_space_group_name_H-M 'F m m 2'
_symmetry_Int_Tables_number 42
_symmetry_space_group_name_Hall 'F 2 -2'
_cell_length_a 3.098
_cell_length_b 5.232
_cell_length_c 11.711
_cell_angle_alpha 90.00
_cell_angle_beta 90.00
_cell_angle_gamma 90.00
loop_
_atom_site_label
_atom_site_type_symbol
_atom_site_fract_x
_atom_site_fract_y
_atom_site_fract_z
_atom_site_occupancy
Li1 Li 0.000 0.000 0.000 1
Rh1 Rh 0.000 0.000 0.315 1
Cl1 Cl 0.000 0.000 0.647 1

---

# 2
# LiRh2Cl PBE relaxed
# crystal system = monoclinic
# polymorph energy (0 for the lowest one) = 14.6 kJ per mole of atoms
# D(E_F) = 8.1 states/eV per cell
# E = -18.55 eV per formula unit
data_LiRh2Cl
_chemical_formula_sum 'Li2 Rh4 Cl2'
_symmetry_space_group_name_H-M 'C 1 m 1'
_symmetry_Int_Tables_number 8
_cell_length_a 7.767
_cell_length_b 2.929
_cell_length_c 6.677
_cell_angle_alpha 90.00
_cell_angle_beta 111.82
_cell_angle_gamma 90.00
loop_
_symmetry_equiv_pos_as_xyz
'x,y,z'
'x,-y,z'
'x+1/2,y+1/2,z'
'x+1/2,-y+1/2,z'
loop_
_atom_site_label
_atom_site_type_symbol
_atom_site_fract_x
_atom_site_fract_y
_atom_site_fract_z
_atom_site_occupancy
Li1 Li 0.000 0.000 0.000 1
Rh1 Rh 0.195 0.000 0.698 1
Rh2 Rh 0.418 0.000 0.535 1
Cl1 Cl 0.266 0.500 0.176 1

---

# 3
# LiRh2Cl PBE relaxed
# crystal system = orthorhombic
# polymorph energy (0 for the lowest one) = 32.1 kJ per mole of atoms
# D(E_F) = 8.9 states/eV per cell
# E = -17.83 eV per formula unit
data_LiRh2Cl
_chemical_formula_sum 'Li2 Rh4 Cl2'
_symmetry_space_group_name_H-M 'I m m 2'
_symmetry_Int_Tables_number 44
_cell_length_a 2.893
_cell_length_b 4.438
_cell_length_c 9.055
_cell_angle_alpha 90.00
_cell_angle_beta 90.00
_cell_angle_gamma 90.00
loop_
_symmetry_equiv_pos_as_xyz
'x,y,z'
'-x,-y,z'
'-x,y,z'
'x,-y,z'
'x+1/2,y+1/2,z+1/2'
'-x+1/2,-y+1/2,z+1/2'
'-x+1/2,y+1/2,z+1/2'
'x+1/2,-y+1/2,z+1/2'
loop_
_atom_site_label
_atom_site_type_symbol
_atom_site_fract_x
_atom_site_fract_y
_atom_site_fract_z
_atom_site_occupancy
Li1 Li 0.000 0.000 0.000 1
Rh1 Rh 0.000 0.000 0.540 1
Rh2 Rh 0.000 0.500 0.792 1
Cl1 Cl 0.000 0.500 0.259 1

---

# 4
# LiRhCl4 PBE relaxed
# crystal system = cubic
# D(E_F) = 11.6 states/eV per cell
# E = -13.42 eV per formula unit
data_LiRhCl4
_chemical_formula_sum 'Li4 Rh4 Cl16'
_symmetry_space_group_name_H-M 'F -4 3 m'
_symmetry_Int_Tables_number 216
_symmetry_space_group_name_Hall 'F -4 2 3'
_cell_length_a 8.390
_cell_length_b 8.390
_cell_length_c 8.390
_cell_angle_alpha 90.00
_cell_angle_beta 90.00
_cell_angle_gamma 90.00
loop_
_atom_site_label
_atom_site_type_symbol
_atom_site_fract_x
_atom_site_fract_y
_atom_site_fract_z
_atom_site_occupancy
Li1 Li 0.000 0.000 0.000 1
Rh1 Rh 0.250 0.250 0.750 1
Cl1 Cl 0.124 0.124 0.376 1

---

# 5
# LiRhCl2 PBE relaxed
# crystal system = monoclinic
# polymorph energy (0 for the lowest one) = 5.3 kJ per mole of atoms
# E = -15.43 eV per formula unit
data_LiRhCl2
_chemical_formula_sum 'Li2 Rh2 Cl4'
_symmetry_space_group_name_H-M 'C 1 2/m 1'
_symmetry_Int_Tables_number 12
_cell_length_a 6.648
_cell_length_b 3.815
_cell_length_c 6.138
_cell_angle_alpha 90.00
_cell_angle_beta 111.02
_cell_angle_gamma 90.00
loop_
_symmetry_equiv_pos_as_xyz
'x,y,z'
'-x,-y,-z'
'-x,y,-z'
'x,-y,z'
'x+1/2,y+1/2,z'
'-x+1/2,-y+1/2,-z'
'-x+1/2,y+1/2,-z'
'x+1/2,-y+1/2,z'
loop_
_atom_site_label
_atom_site_type_symbol
_atom_site_fract_x
_atom_site_fract_y
_atom_site_fract_z
_atom_site_occupancy
Li1 Li 0.000 0.000 0.000 1
Rh1 Rh 0.000 0.500 0.500 1
Cl1 Cl 0.248 0.500 0.248 1

---

# 6
# LiRhCl2 PBE relaxed
# crystal system = tetragonal
# polymorph energy (0 for the lowest one) = 8.3 kJ per mole of atoms
# D(E_F) = 7.4 states/eV per cell
# E = -15.30 eV per formula unit
data_LiRhCl2
_chemical_formula_sum 'Li4 Rh4 Cl8'
_symmetry_space_group_name_H-M 'I -4 2 d'
_symmetry_Int_Tables_number 122
_symmetry_space_group_name_Hall 'I -4 2bw'
_cell_length_a 5.671
_cell_length_b 5.671
_cell_length_c 10.832
_cell_angle_alpha 90.00
_cell_angle_beta 90.00
_cell_angle_gamma 90.00
loop_
_atom_site_label
_atom_site_type_symbol
_atom_site_fract_x
_atom_site_fract_y
_atom_site_fract_z
_atom_site_occupancy
Li1 Li 0.000 0.000 0.000 1
Rh1 Rh 0.000 0.000 0.500 1
Cl1 Cl 0.233 0.250 0.125 1

---

no.,calculated density (g/cm3),E_form (uncorrected) (meV per atom)
1,5.1,-83
2,5.8,-22
3,7.1,159
4,2.8,539
5,4.1,-617
6,3.4,-586